# Tm2HfNbN4 | Alexandria via LeMat-Bulk | GGA-PBE | optimized geometry
# calculated density = 11.17 g cm⁻³
# space-group type = P2/m, No. 10
# uncorrected formation energy = -1.634 eV/atom
# total magnetization = 0.000 μB per atom
data_Tm2HfNbN4
_cell_length_a 5.6543
_cell_length_b 3.2495
_cell_length_c 5.7028
_cell_angle_alpha 90.00
_cell_angle_beta 109.27
_cell_angle_gamma 90.00
_space_group_name_H-M_alt 'P 1'
_space_group_IT_number 1
loop_
_space_group_symop_operation_xyz
'x,y,z'
loop_
_atom_site_label
_atom_site_type_symbol
_atom_site_fract_x
_atom_site_fract_y
_atom_site_fract_z
_atom_site_occupancy
Tm1 Tm 0.0000 0.0000 0.0000 1
Tm2 Tm 0.5000 0.5000 0.0000 1
Hf1 Hf 0.0000 0.5000 0.5000 1
Nb1 Nb 0.5000 0.0000 0.5000 1
N1 N 0.2412 0.0000 0.7345 1
N2 N 0.2528 0.5000 0.2648 1
N3 N 0.7472 0.5000 0.7352 1
N4 N 0.7588 0.0000 0.2655 1